# 1
{"formula": "K6RbTl2", "functional": "PBE", "state": "optimized geometry", "formation_enthalpy_0k_ev_per_fu": -0.24, "energy_ha_per_atom": -0.051, "space_group": "No. 71", "vol_a3_per_cell": 1035, "total_magnetization_mub_per_cell": 0.0, "crystal_system": "orthorhombic", "rho_g_cm3": 2.3, "cell": [[10.3484, 0.2264, -3.9757], [-5.7329, 9.1886, -2.3771], [-0.5831, -0.2264, 11.0705]], "species": ["K", "K", "K", "K", "K", "K", "K", "K", "K", "K", "K", "K", "Rb", "Rb", "Tl", "Tl", "Tl", "Tl"], "fractional_positions": [[0.4834, 0.2886, 0.1947], [0.5166, 0.7114, 0.8053], [0.9061, 0.7114, 0.1947], [0.0939, 0.2886, 0.8053], [0.2276, 0.7579, 0.9855], [0.7724, 0.2421, 0.0145], [0.7724, 0.7579, 0.5304], [0.2276, 0.2421, 0.4696], [0.3054, 0.9911, 0.6856], [0.6946, 0.0089, 0.3144], [0.6946, 0.3802, 0.6856], [0.3054, 0.6198, 0.3144], [0.0000, 0.5000, 0.5000], [0.0000, 0.0000, 0.0000], [0.5000, 0.3910, 0.8910], [0.5000, 0.6090, 0.1090], [0.3696, 0.0000, 0.3696], [0.6304, 0.0000, 0.6304]]}

---

# 2
{"formula": "CsAgTe2S4", "functional": "PBE", "state": "optimized geometry", "energy_ha_per_atom": -0.128, "space_group": "No. 23", "vol_a3_per_cell": 242, "total_magnetization_mub_per_cell": 0.0, "crystal_system": "orthorhombic", "rho_g_cm3": 4.3, "cell": [[7.0676, 0.0000, 0.0000], [3.5338, 5.8956, -1.4942], [3.5338, -0.8321, 6.0248]], "species": ["Cs", "Ag", "Te", "Te", "S", "S", "S", "S"], "fractional_positions": [[0.0000, 0.0000, 0.0000], [0.0000, 0.5000, 0.5000], [0.5000, 0.7330, 0.2670], [0.5000, 0.2670, 0.7330], [0.5991, 0.5504, 0.8849], [0.4009, 0.1151, 0.4496], [0.0343, 0.4496, 0.1151], [0.9657, 0.8849, 0.5504]]}

---

# 3
{"formula": "CdInPd2", "functional": "PBE", "state": "optimized geometry", "formation_enthalpy_0k_ev_per_fu": -1.86, "energy_ha_per_atom": -0.146, "space_group": "No. 123", "vol_a3_per_cell": 71, "total_magnetization_mub_per_cell": 0.0, "crystal_system": "tetragonal", "rho_g_cm3": 10.3, "e_above_lowest_polymorph_mev_per_atom": 5.5, "cell": [[-2.8828, -0.0819, 1.5807], [1.6400, -3.3016, 2.8200], [1.5167, 3.2601, 2.9349]], "species": ["Cd", "Pd", "Pd", "In"], "fractional_positions": [[0.5000, 0.0000, 0.0000], [0.0000, 0.0000, 0.5000], [0.0000, 0.5000, 0.0000], [0.5000, 0.5000, 0.5000]]}

---

# 4
{"formula": "NdZn5P4", "functional": "PBE", "state": "optimized geometry", "formation_enthalpy_0k_ev_per_fu": -2.75, "energy_ha_per_atom": -0.131, "space_group": "No. 71", "vol_a3_per_cell": 194, "total_magnetization_mub_per_cell": 0.0, "crystal_system": "orthorhombic", "rho_g_cm3": 5.1, "cell": [[-1.6647, 0.9373, 3.4803], [2.5513, -6.1753, 2.8833], [5.1921, 5.8052, -1.3444]], "species": ["Nd", "Zn", "Zn", "Zn", "Zn", "Zn", "P", "P", "P", "P"], "fractional_positions": [[0.5000, 0.0000, 0.0000], [0.8249, 0.0347, 0.6498], [0.8249, 0.6150, 0.6498], [0.1751, 0.3850, 0.3502], [0.1751, 0.9653, 0.3502], [0.5000, 0.5000, 0.0000], [0.0000, 0.7148, 0.0000], [0.2751, 0.7751, 0.5502], [0.7249, 0.2249, 0.4498], [0.0000, 0.2852, 0.0000]]}